Computed, not measured: a relaxed structure of SmPuAg at the GGA-PBE level of DFT.

It has space group I4mm (No. 107), with a = 3.5986 Å, b = 3.5986 Å, c = 12.6388 Å, α = 90.00°, β = 90.00° and γ = 90.00°. The asymmetric unit holds Sm at (0.0000, 0.0000, 0.0000), Pu at (0.0000, 0.0000, 0.6986) and Ag at (0.0000, 0.0000, 0.3526).

As for the volume: 27.3 Å³/atom. The value obtained for the total moment is 12.8 μB/cell. For the energy of formation from the pure elements, the calculation gives 0.05 eV per atom. The calculation puts the raw total energy at -7.2472 eV/atom. Its relative energy among the computed polymorphs is 0.000 eV/atom.